Arrangement P

# PBE-GGA PaSnS4, relaxed
data_PaSnS4
_chemical_formula_sum 'Pa2 Sn2 S8'
_symmetry_space_group_name_H-M 'P 1 21/c 1'
_symmetry_Int_Tables_number 14
_symmetry_space_group_name_Hall '-P 2ybc'
_cell_length_a 6.667
_cell_length_b 6.523
_cell_length_c 6.590
_cell_angle_alpha 90.00
_cell_angle_beta 91.67
_cell_angle_gamma 90.00
loop_
_atom_site_label
_atom_site_type_symbol
_atom_site_fract_x
_atom_site_fract_y
_atom_site_fract_z
Pa1 Pa 0.000 0.000 0.000
Sn1 Sn 0.500 0.000 0.500
S1 S 0.162 0.165 0.340
S2 S 0.327 0.662 0.331
# total moment: 0.0 Bohr magnetons per cell

=====

Arrangement Q

# PBE-GGA PaSnS4, relaxed
data_PaSnS4
_chemical_formula_sum 'Pa2 Sn2 S8'
_symmetry_space_group_name_H-M 'C 1 2/m 1'
_symmetry_Int_Tables_number 12
_symmetry_space_group_name_Hall '-C 2y'
_cell_length_a 14.670
_cell_length_b 3.994
_cell_length_c 6.820
_cell_angle_alpha 90.00
_cell_angle_beta 117.61
_cell_angle_gamma 90.00
loop_
_atom_site_label
_atom_site_type_symbol
_atom_site_fract_x
_atom_site_fract_y
_atom_site_fract_z
Pa1 Pa 0.000 0.000 0.000
Sn1 Sn 0.000 0.500 0.500
S1 S 0.109 0.000 0.434
S2 S 0.110 0.500 0.954
# total moment: 0.0 Bohr magnetons per cell

=====

It is arrangement Q that is most stable; the runner-up trails by 88 meV/atom.

=====

Arrangement P

# PBE-GGA Pa2SnS6, relaxed
data_Pa2SnS6
_chemical_formula_sum 'Pa8 Sn4 S24'
_symmetry_space_group_name_H-M 'C 1 2/c 1'
_symmetry_Int_Tables_number 15
_symmetry_space_group_name_Hall '-C 2yc'
_cell_length_a 13.348
_cell_length_b 12.427
_cell_length_c 6.875
_cell_angle_alpha 90.00
_cell_angle_beta 103.67
_cell_angle_gamma 90.00
loop_
_atom_site_label
_atom_site_type_symbol
_atom_site_fract_x
_atom_site_fract_y
_atom_site_fract_z
Pa1 Pa 0.238 0.087 0.496
Sn1 Sn 0.000 0.393 0.750
S1 S 0.132 0.451 0.137
S2 S 0.135 0.060 0.131
S3 S 0.141 0.259 0.585
# total moment: 0.0 Bohr magnetons per cell

=====

Arrangement Q

# PBE-GGA Pa2SnS6, relaxed
data_Pa2SnS6
_chemical_formula_sum 'Pa2 Sn1 S6'
_symmetry_space_group_name_H-M 'P -6 2 m'
_symmetry_Int_Tables_number 189
_symmetry_space_group_name_Hall 'P -6 -2'
_cell_length_a 7.2006
_cell_length_b 7.2006
_cell_length_c 4.0653
_cell_angle_alpha 90.00
_cell_angle_beta 90.00
_cell_angle_gamma 120.00
loop_
_atom_site_label
_atom_site_type_symbol
_atom_site_fract_x
_atom_site_fract_y
_atom_site_fract_z
Pa1 Pa 0.3333 0.6667 0.0000
Sn1 Sn 0.0000 0.0000 0.5000
S1 S 0.0000 0.4186 0.5000
S2 S 0.0000 0.7371 0.0000
# total moment: 0.0 Bohr magnetons per cell

=====

It is arrangement P that is most stable; the runner-up trails by 91 meV/atom.

=====

Arrangement P

# PBE-GGA Sr2Pa3S8, relaxed
data_Sr2Pa3S8
_chemical_formula_sum 'Sr4 Pa6 S16'
_symmetry_space_group_name_H-M 'C 1 2/m 1'
_symmetry_Int_Tables_number 12
_symmetry_space_group_name_Hall '-C 2y'
_cell_length_a 14.454
_cell_length_b 8.220
_cell_length_c 6.868
_cell_angle_alpha 90.00
_cell_angle_beta 109.64
_cell_angle_gamma 90.00
loop_
_atom_site_label
_atom_site_type_symbol
_atom_site_fract_x
_atom_site_fract_y
_atom_site_fract_z
Sr1 Sr 0.229 0.000 0.156
Pa1 Pa 0.000 0.245 0.500
Pa2 Pa 0.000 0.500 0.000
S1 S 0.106 0.500 0.415
S2 S 0.110 0.000 0.442
S3 S 0.115 0.275 0.903
# total moment: 6.0 Bohr magnetons per cell

=====

Arrangement Q

# PBE-GGA Sr2Pa3S8, relaxed
data_Sr2Pa3S8
_chemical_formula_sum 'Sr4 Pa6 S16'
_symmetry_space_group_name_H-M 'C m m m'
_symmetry_Int_Tables_number 65
_symmetry_space_group_name_Hall '-C 2 2'
_cell_length_a 9.710
_cell_length_b 14.276
_cell_length_c 4.723
_cell_angle_alpha 90.00
_cell_angle_beta 90.00
_cell_angle_gamma 90.00
loop_
_atom_site_label
_atom_site_type_symbol
_atom_site_fract_x
_atom_site_fract_y
_atom_site_fract_z
Sr1 Sr 0.000 0.233 0.000
Pa1 Pa 0.000 0.500 0.000
Pa2 Pa 0.224 0.000 0.500
S1 S 0.000 0.113 0.500
S2 S 0.000 0.393 0.500
S3 S 0.237 0.389 0.000
# total moment: 5.8 Bohr magnetons per cell

=====

It is arrangement P that is most stable; the runner-up trails by 26 meV/atom.

=====

Arrangement P

# PBE-GGA PaTaS3, relaxed
data_PaTaS3
_chemical_formula_sum 'Pa8 Ta8 S24'
_symmetry_space_group_name_H-M 'C m c e'
_symmetry_Int_Tables_number 64
_symmetry_space_group_name_Hall '-C 2ac 2'
_cell_length_a 7.824
_cell_length_b 14.705
_cell_length_c 7.635
_cell_angle_alpha 90.00
_cell_angle_beta 90.00
_cell_angle_gamma 90.00
loop_
_atom_site_label
_atom_site_type_symbol
_atom_site_fract_x
_atom_site_fract_y
_atom_site_fract_z
Pa1 Pa 0.250 0.214 0.250
Ta1 Ta 0.000 0.088 0.589
S1 S 0.000 0.070 0.273
S2 S 0.000 0.244 0.000
S3 S 0.250 0.103 0.750
# total moment: 0.0 Bohr magnetons per cell

=====

Arrangement Q

# PBE-GGA PaTaS3, relaxed
data_PaTaS3
_chemical_formula_sum 'Pa2 Ta2 S6'
_symmetry_space_group_name_H-M 'P 1 21/m 1'
_symmetry_Int_Tables_number 11
_symmetry_space_group_name_Hall '-P 2yb'
_cell_length_a 7.162
_cell_length_b 3.639
_cell_length_c 7.576
_cell_angle_alpha 90.00
_cell_angle_beta 97.59
_cell_angle_gamma 90.00
loop_
_atom_site_label
_atom_site_type_symbol
_atom_site_fract_x
_atom_site_fract_y
_atom_site_fract_z
Pa1 Pa 0.126 0.250 0.279
Ta1 Ta 0.378 0.750 0.876
S1 S 0.130 0.250 0.899
S2 S 0.205 0.750 0.557
S3 S 0.412 0.750 0.206
# total moment: 1.7 Bohr magnetons per cell

=====

It is arrangement Q that is most stable; the runner-up trails by 128 meV/atom.

=====

Arrangement P

# PBE-GGA PaTa2S6, relaxed
data_PaTa2S6
_chemical_formula_sum 'Pa2 Ta4 S12'
_symmetry_space_group_name_H-M 'C 1 2/m 1'
_symmetry_Int_Tables_number 12
_symmetry_space_group_name_Hall '-C 2y'
_cell_length_a 12.420
_cell_length_b 4.573
_cell_length_c 8.786
_cell_angle_alpha 90.00
_cell_angle_beta 124.40
_cell_angle_gamma 90.00
loop_
_atom_site_label
_atom_site_type_symbol
_atom_site_fract_x
_atom_site_fract_y
_atom_site_fract_z
Pa1 Pa 0.000 0.000 0.000
Ta1 Ta 0.141 0.000 0.564
S1 S 0.055 0.000 0.745
S2 S 0.144 0.500 0.117
S3 S 0.218 0.500 0.581
# total moment: 0.0 Bohr magnetons per cell

=====

Arrangement Q

# PBE-GGA PaTa2S6, relaxed
data_PaTa2S6
_chemical_formula_sum 'Pa3 Ta6 S18'
_symmetry_space_group_name_H-M 'R -3'
_symmetry_Int_Tables_number 148
_symmetry_space_group_name_Hall '-R 3'
_cell_length_a 6.0938
_cell_length_b 6.0938
_cell_length_c 19.3323
_cell_angle_alpha 90.00
_cell_angle_beta 90.00
_cell_angle_gamma 120.00
loop_
_atom_site_label
_atom_site_type_symbol
_atom_site_fract_x
_atom_site_fract_y
_atom_site_fract_z
Pa1 Pa 0.0000 0.0000 0.0000
Ta1 Ta 0.0000 0.0000 0.1663
S1 S 0.0022 0.6617 0.4243
# total moment: 0.0 Bohr magnetons per cell

=====

It is arrangement Q that is most stable; the runner-up trails by 82 meV/atom.

=====

Arrangement P

# PBE-GGA TbPaS3, relaxed
data_TbPaS3
_chemical_formula_sum 'Tb6 Pa6 S18'
_symmetry_space_group_name_H-M 'R 3 2'
_symmetry_Int_Tables_number 155
_symmetry_space_group_name_Hall 'R 3 2"'
_cell_length_a 6.6412
_cell_length_b 6.6412
_cell_length_c 20.4227
_cell_angle_alpha 90.00
_cell_angle_beta 90.00
_cell_angle_gamma 120.00
loop_
_atom_site_label
_atom_site_type_symbol
_atom_site_fract_x
_atom_site_fract_y
_atom_site_fract_z
Tb1 Tb 0.0000 0.0000 0.1553
Pa1 Pa 0.0000 0.0000 0.3427
S1 S 0.0033 0.3047 0.2492
# total moment: 10.6 Bohr magnetons per cell

=====

Arrangement Q

# PBE-GGA TbPaS3, relaxed
data_TbPaS3
_chemical_formula_sum 'Tb4 Pa4 S12'
_symmetry_space_group_name_H-M 'P n m a'
_symmetry_Int_Tables_number 62
_symmetry_space_group_name_Hall '-P 2ac 2n'
_cell_length_a 7.361
_cell_length_b 3.878
_cell_length_c 14.953
_cell_angle_alpha 90.00
_cell_angle_beta 90.00
_cell_angle_gamma 90.00
loop_
_atom_site_label
_atom_site_type_symbol
_atom_site_fract_x
_atom_site_fract_y
_atom_site_fract_z
Tb1 Tb 0.241 0.250 0.044
Pa1 Pa 0.123 0.750 0.289
S1 S 0.006 0.750 0.108
S2 S 0.124 0.250 0.429
S3 S 0.152 0.750 0.724
# total moment: 3.2 Bohr magnetons per cell

=====

It is arrangement Q that is most stable; the runner-up trails by 223 meV/atom.